No. 1
CsTbAg2I6 | PBE | optimized geometry

SG: No. 15
E_tot in Ha/atom: -0.108
Magnetization in μB per formula unit: 0.00
E_form (uncorrected) in kJ/mol of formula units: -867

Cell lengths 11.0820, 11.0820, 9.3790 Å; angles 108.19, 108.19, 81.96 degrees
Last column: nearest neighbours and their distance in Å.
Fractional coordinates of all 20 atoms:
Cs 0.1714 0.8286 0.7500  8 I 3.86-4.24
Cs 0.8286 0.1714 0.2500  8 I 3.86-4.24
Tb 0.1788 0.8212 0.2500  4 I 2.88-2.91
Tb 0.8212 0.1788 0.7500  4 I 2.88-2.91
Ag 0.3853 0.4827 0.8683  4 I 2.87-3.01, 1 Ag 2.91
Ag 0.4827 0.3853 0.3683  4 I 2.87-3.01, 1 Ag 2.91
Ag 0.5173 0.6147 0.6317  4 I 2.87-3.01, 1 Ag 2.91
Ag 0.6147 0.5173 0.1317  4 I 2.87-3.01, 1 Ag 2.91
I 0.0526 0.1822 0.6727  1 Tb 2.88
I 0.1559 0.5986 0.9782  1 Tb 2.91, 1 Ag 3.01
I 0.1822 0.0526 0.1727  1 Tb 2.88
I 0.2956 0.4555 0.5372  3 Ag 2.87-2.97
I 0.4014 0.8441 0.5218  1 Tb 2.91, 1 Ag 3.01
I 0.4555 0.2956 0.0372  3 Ag 2.87-2.97
I 0.5445 0.7044 0.9628  3 Ag 2.87-2.97
I 0.5986 0.1559 0.4782  1 Tb 2.91, 1 Ag 3.01
I 0.7044 0.5445 0.4628  3 Ag 2.87-2.97
I 0.8178 0.9474 0.8273  1 Tb 2.88
I 0.8441 0.4014 0.0217  1 Tb 2.91, 1 Ag 3.01
I 0.9474 0.8178 0.3273  1 Tb 2.88



No. 2
Cs2TbAgI6 | PBE | optimized geometry

SG: No. 59
E_tot in Ha/atom: -0.113
Magnetization in μB per formula unit: 0.00
E_form (uncorrected) in kJ/mol of formula units: -1183

Cell lengths 8.5957, 12.2646, 8.5952 Å; angles 90.00, 90.00, 90.00 degrees
Last column: nearest neighbours and their distance in Å.
Fractional coordinates of all 20 atoms:
Cs 0.2500 0.0002 0.2499  12 I 4.29-4.32
Cs 0.2500 0.4998 0.2499  12 I 4.29-4.32
Cs 0.7500 0.9998 0.7501  12 I 4.29-4.32
Cs 0.7500 0.5002 0.7501  12 I 4.29-4.32
Tb 0.2500 0.2500 0.7490  6 I 3.04
Tb 0.7500 0.7500 0.2510  6 I 3.04
Ag 0.2500 0.7500 0.7513  6 I 3.03-3.09
Ag 0.7500 0.2500 0.2487  6 I 3.03-3.09
I 0.0000 0.2500 0.4986  1 Ag 3.04, 1 Tb 3.04
I 0.9995 0.2500 0.9990  1 Ag 3.03, 1 Tb 3.04
I 0.0005 0.7500 0.0010  1 Ag 3.03, 1 Tb 3.04
I 0.0000 0.7500 0.5014  1 Ag 3.04, 1 Tb 3.04
I 0.2500 0.0022 0.7496  1 Tb 3.04, 1 Ag 3.09
I 0.2500 0.4978 0.7496  1 Tb 3.04, 1 Ag 3.09
I 0.5000 0.2500 0.4986  1 Ag 3.04, 1 Tb 3.04
I 0.5005 0.2500 0.9990  1 Ag 3.03, 1 Tb 3.04
I 0.4995 0.7500 0.0010  1 Ag 3.03, 1 Tb 3.04
I 0.5000 0.7500 0.5014  1 Ag 3.04, 1 Tb 3.04
I 0.7500 0.5022 0.2504  1 Tb 3.04, 1 Ag 3.09
I 0.7500 0.9978 0.2504  1 Tb 3.04, 1 Ag 3.09



No. 3
CsTbAgI6 | PBE | optimized geometry

SG: No. 1
E_tot in Ha/atom: -0.108
Magnetization in μB per formula unit: 0.00
E_form (uncorrected) in kJ/mol of formula units: -853

Cell lengths 7.5868, 7.7415, 8.3178 Å; angles 93.48, 97.28, 111.12 degrees
Last column: nearest neighbours and their distance in Å.
Fractional coordinates of all 9 atoms:
Cs 0.0000 0.0000 0.0000  7 I 3.91-4.36
Tb 0.4021 0.6478 0.5080  6 I 2.94-3.14
Ag 0.7852 0.3408 0.4463  5 I 2.82-3.03
I 0.0610 0.5840 0.2435  1 Ag 3.03, 1 Tb 3.05
I 0.1093 0.3176 0.6393  1 Ag 2.83, 1 Tb 3.09
I 0.4241 0.9280 0.7723  1 Tb 2.94
I 0.4826 0.3903 0.2441  1 Ag 2.82, 1 Tb 3.14
I 0.6509 0.9504 0.3220  1 Ag 2.89, 1 Tb 3.07
I 0.6981 0.5389 0.7150  1 Ag 2.91, 1 Tb 3.05



No. 4
Cs3TbAg2I8 | PBE | optimized geometry

SG: No. 164
E_tot in Ha/atom: -0.107
Magnetization in μB per formula unit: 0.00
E_form (uncorrected) in kJ/mol of formula units: -1487

Cell lengths 8.5821, 8.5821, 11.0496 Å; angles 90.00, 90.00, 120.00 degrees
Last column: nearest neighbours and their distance in Å.
Fractional coordinates of all 14 atoms:
Cs 0.0000 0.0000 0.0000  6 I 4.42
Cs 0.3333 0.6667 0.6232  4 I 3.67-4.07
Cs 0.6667 0.3333 0.3768  4 I 3.67-4.07
Tb 0.0000 0.0000 0.5000  6 I 3.04
Ag 0.3333 0.6667 0.1986  4 I 2.68-2.94
Ag 0.6667 0.3333 0.8014  4 I 2.68-2.94
I 0.1632 0.3264 0.3343  1 Ag 2.94, 1 Tb 3.04
I 0.1632 0.8368 0.3343  1 Ag 2.94, 1 Tb 3.04
I 0.3264 0.1632 0.6657  1 Ag 2.94, 1 Tb 3.04
I 0.3333 0.6667 0.9556  1 Ag 2.68
I 0.6667 0.3333 0.0444  1 Ag 2.68
I 0.6736 0.8368 0.3343  1 Ag 2.94, 1 Tb 3.04
I 0.8368 0.1632 0.6657  1 Ag 2.94, 1 Tb 3.04
I 0.8368 0.6736 0.6657  1 Ag 2.94, 1 Tb 3.04



No. 5
Cs3TbAg2I9 | PBE | optimized geometry

SG: No. 164
E_tot in Ha/atom: -0.104
Magnetization in μB per formula unit: 0.00
E_form (uncorrected) in kJ/mol of formula units: -1503

Cell lengths 8.4887, 8.4887, 10.5632 Å; angles 90.00, 90.00, 120.00 degrees
Last column: nearest neighbours and their distance in Å.
Fractional coordinates of all 15 atoms:
Cs 0.0000 0.0000 0.0000  12 I 4.24-4.31
Cs 0.3333 0.6667 0.6763  12 I 4.21-4.35
Cs 0.6667 0.3333 0.3237  12 I 4.21-4.35
Tb 0.0000 0.0000 0.5000  6 I 3.03
Ag 0.3333 0.6667 0.1505  6 I 2.92-3.10
Ag 0.6667 0.3333 0.8495  6 I 2.92-3.10
I 0.0000 0.5000 0.0000  2 Ag 2.92
I 0.1684 0.3369 0.3340  1 Tb 3.03, 1 Ag 3.10
I 0.1684 0.8316 0.3340  1 Tb 3.03, 1 Ag 3.10
I 0.3369 0.1684 0.6660  1 Tb 3.03, 1 Ag 3.10
I 0.5000 0.0000 0.0000  2 Ag 2.92
I 0.5000 0.5000 0.0000  2 Ag 2.92
I 0.6631 0.8316 0.3340  1 Tb 3.03, 1 Ag 3.10
I 0.8316 0.1684 0.6660  1 Tb 3.03, 1 Ag 3.10
I 0.8316 0.6631 0.6660  1 Tb 3.03, 1 Ag 3.10



No. 6
CsTbAgI5 | PBE | optimized geometry

SG: No. 15
E_tot in Ha/atom: -0.116
Magnetization in μB per formula unit: 0.00
E_form (uncorrected) in kJ/mol of formula units: -883

Cell lengths 8.6282, 8.6282, 11.6119 Å; angles 102.66, 102.66, 106.77 degrees
Last column: nearest neighbours and their distance in Å.
Fractional coordinates of all 16 atoms:
Cs 0.1490 0.8510 0.7500  7 I 3.85-4.28
Cs 0.8510 0.1490 0.2500  7 I 3.85-4.28
Tb 0.5000 0.5000 0.0000  6 I 3.05-3.06
Tb 0.5000 0.5000 0.5000  6 I 3.05-3.06
Ag 0.1900 0.8100 0.2500  4 I 2.85-2.91
Ag 0.8100 0.1900 0.7500  4 I 2.85-2.91
I 0.1303 0.2702 0.9384  1 Ag 2.91, 1 Tb 3.06
I 0.1924 0.5956 0.4050  1 Ag 2.85, 1 Tb 3.05
I 0.2702 0.1303 0.4384  1 Ag 2.91, 1 Tb 3.06
I 0.4044 0.8076 0.0950  1 Ag 2.85, 1 Tb 3.05
I 0.4304 0.5696 0.7500  2 Tb 3.06
I 0.5696 0.4304 0.2500  2 Tb 3.06
I 0.5956 0.1924 0.9050  1 Ag 2.85, 1 Tb 3.05
I 0.7298 0.8697 0.5616  1 Ag 2.91, 1 Tb 3.06
I 0.8076 0.4044 0.5950  1 Ag 2.85, 1 Tb 3.05
I 0.8697 0.7298 0.0616  1 Ag 2.91, 1 Tb 3.06